First-principles (PBE) data for an optimized crystal structure of CaGd2Mg, as listed in Alexandria via LeMat-Bulk.

As for the energy above the most stable polymorph in this dataset: 52 meV/atom. For the formation energy, the calculation gives 0.069 eV/atom.

```
data_CaGd2Mg
_space_group_name_H-M_alt 'F m -3 m'
_space_group_IT_number 225
_space_group_name_Hall '-F 4 2 3'
_cell_length_a 7.9388
_cell_length_b 7.9388
_cell_length_c 7.9388
_cell_angle_alpha 90.00
_cell_angle_beta 90.00
_cell_angle_gamma 90.00
loop_
_atom_site_label
_atom_site_fract_x
_atom_site_fract_y
_atom_site_fract_z
Ca1 0.0000 0.0000 0.0000
Gd1 0.2500 0.2500 0.2500
Mg1 0.0000 0.0000 0.5000
```

***

First-principles (PBE) data for an optimized crystal structure of Ac2Se2N, as listed in Alexandria via LeMat-Bulk.

Its uncorrected formation energy is -7.70 eV per formula unit.

```
data_Ac2Se2N
_space_group_name_H-M_alt 'I b a m'
_space_group_IT_number 72
_space_group_name_Hall '-I 2 2c'
_cell_length_a 6.8682
_cell_length_b 12.7533
_cell_length_c 6.2837
_cell_angle_alpha 90.00
_cell_angle_beta 90.00
_cell_angle_gamma 90.00
loop_
_atom_site_label
_atom_site_fract_x
_atom_site_fract_y
_atom_site_fract_z
Ac1 0.2040 0.1045 0.0000
Se1 0.1694 0.3559 0.0000
N1 0.0000 0.0000 0.2500
```

***

First-principles (PBE) data for an optimized crystal structure of Mg2ZnHRu, as listed in Alexandria via LeMat-Bulk.

The final energy is -17.64 eV/cell.

```
data_Mg2ZnHRu
_space_group_name_H-M_alt 'P 4/m m m'
_space_group_IT_number 123
_space_group_name_Hall '-P 4 2'
_cell_length_a 4.4033
_cell_length_b 4.4033
_cell_length_c 3.4870
_cell_angle_alpha 90.00
_cell_angle_beta 90.00
_cell_angle_gamma 90.00
loop_
_atom_site_label
_atom_site_fract_x
_atom_site_fract_y
_atom_site_fract_z
Mg1 0.0000 0.5000 0.0000
Zn1 0.0000 0.0000 0.5000
H1 0.5000 0.5000 0.0000
Ru1 0.5000 0.5000 0.5000
```